# TbNd2ThP4, optimized geometry, DFT GGA-PBE
data_TbNd2ThP4
_symmetry_space_group_name_H-M 'P 1'
_symmetry_Int_Tables_number 1
_symmetry_space_group_name_Hall 'P 1'
_cell_length_a 7.136
_cell_length_b 4.132
_cell_length_c 7.158
_cell_angle_alpha 90.00
_cell_angle_beta 109.43
_cell_angle_gamma 90.00
loop_
_atom_site_label
_atom_site_type_symbol
_atom_site_fract_x
_atom_site_fract_y
_atom_site_fract_z
Tb1 Tb 0.000 0.000 0.000
Nd1 Nd 0.000 0.500 0.500
Nd2 Nd 0.500 0.000 0.500
Th1 Th 0.500 0.500 0.000
P1 P 0.246 0.500 0.242
P2 P 0.250 0.000 0.756
P3 P 0.750 0.000 0.244
P4 P 0.754 0.500 0.758
# Symmetry: P2/m
# Calculated formation energy, eV/atom: -1.584